(1)
! DyYH (PBE, relaxed); values from VASP
&SYSTEM
  ibrav = 0, nat = 24, ntyp = 3
/
ATOMIC_SPECIES
Dy 162.50 Dy.upf
Y 88.91 Y.upf
H 1.01 H.upf
CELL_PARAMETERS angstrom
6.265 0.000 0.000
-0.001 7.202 0.000
-1.006 -1.803 11.461
ATOMIC_POSITIONS crystal
Dy 0.000 0.000 0.000
Dy 0.003 0.498 0.998
Dy 0.216 0.812 0.253
Dy 0.293 0.935 0.751
Dy 0.426 0.121 0.509
Dy 0.713 0.063 0.258
Dy 0.792 0.185 0.751
Dy 0.926 0.875 0.503
Y 0.216 0.314 0.247
Y 0.289 0.436 0.749
Y 0.419 0.627 0.504
Y 0.500 0.748 0.001
Y 0.502 0.249 0.999
Y 0.717 0.563 0.256
Y 0.789 0.687 0.756
Y 0.915 0.377 0.507
H 0.079 0.591 0.379
H 0.180 0.260 0.059
H 0.256 0.384 0.547
H 0.369 0.537 0.127
H 0.618 0.409 0.628
H 0.646 0.965 0.881
H 0.653 0.471 0.881
H 0.741 0.614 0.451
! space group: P1
! final energy: -5.0631 eV per atom
! offset from the most stable computed form: 37.1 meV/atom
! density of states at the Fermi level: 0.89 states/eV per atom

---

(2)
! Pm2NdSn2 (PBE, relaxed); values from VASP
&SYSTEM
  ibrav = 0, nat = 10, ntyp = 3
/
ATOMIC_SPECIES
Pm 145.00 Pm.upf
Nd 144.24 Nd.upf
Sn 118.71 Sn.upf
CELL_PARAMETERS angstrom
5.197 0.000 0.000
-2.598 4.500 0.000
0.000 0.000 13.173
ATOMIC_POSITIONS crystal
Pm 0.000 0.000 0.000
Pm 0.000 0.000 0.500
Pm 0.333 0.667 0.250
Pm 0.667 0.333 0.750
Nd 0.000 0.000 0.250
Nd 0.000 0.000 0.750
Sn 0.333 0.667 0.628
Sn 0.333 0.667 0.872
Sn 0.667 0.333 0.128
Sn 0.667 0.333 0.372
! space group: P6_3/mmc
! final energy: -4.7682 eV per atom
! offset from the most stable computed form: 102.0 meV/atom
! density of states at the Fermi level: 1.04 states/eV per atom
! E_form: -0.31 eV/atom